Material: AlZn3Ag
Method: DFT, GGA-PBE
State: optimized geometry

Unit cell a=6.585 b=6.585 c=6.585 alpha=137.63 beta=98.20 gamma=96.82
Element x y z (fractional)
1 Al 0.270 0.020 0.250
2 Al 0.730 0.980 0.750
3 Zn 0.000 0.000 0.500
4 Zn 0.000 0.500 0.000
5 Zn 0.202 0.185 0.017
6 Zn 0.332 0.815 0.517
7 Zn 0.668 0.185 0.483
8 Zn 0.798 0.815 0.983
9 Ag 0.000 0.500 0.500
10 Ag 0.500 0.500 0.000

Output
**Energy relative to the lowest polymorph listed for this composition**: 141 meV/atom
**Calculated density**: 6128 kg/m3
**ΔE_f**: 138 meV per atom